<one>
A geometry-optimized K2RbPrCl6 structure. Source: Alexandria, functional PBE. Values from VASP.

Structure (Quantum ESPRESSO input):
```
&SYSTEM
  ibrav = 0, nat = 10, ntyp = 4
/
ATOMIC_SPECIES
K 39.10 K.upf
Rb 85.47 Rb.upf
Pr 140.91 Pr.upf
Cl 35.45 Cl.upf
CELL_PARAMETERS angstrom
3.9356 2.2722 6.8963
-3.9356 2.2722 6.8963
0.0000 -4.5444 6.8963
ATOMIC_POSITIONS crystal
K 0.0000 0.0000 0.0000
K 0.4903 0.4903 0.4903
Rb 0.2835 0.2835 0.2835
Pr 0.7935 0.7935 0.7935
Cl 0.0467 0.4407 0.6905
Cl 0.1531 0.8786 0.6101
Cl 0.4407 0.6905 0.0467
Cl 0.6101 0.1531 0.8786
Cl 0.6905 0.0467 0.4407
Cl 0.8786 0.6101 0.1531
```

Computed properties:
The space group is R3, No. 146. For the density of states at the Fermi level, the calculation gives 0.0 states/eV/f.u.

<two>
A geometry-optimized K2RbPrCl6 structure. Source: Alexandria, functional PBE. Values from VASP.

Structure (Quantum ESPRESSO input):
```
&SYSTEM
  ibrav = 0, nat = 10, ntyp = 4
/
ATOMIC_SPECIES
K 39.10 K.upf
Rb 85.47 Rb.upf
Pr 140.91 Pr.upf
Cl 35.45 Cl.upf
CELL_PARAMETERS angstrom
0.0000 5.8556 5.8556
5.8556 0.0000 5.8556
5.8556 5.8556 0.0000
ATOMIC_POSITIONS crystal
K 0.2500 0.2500 0.2500
K 0.7500 0.7500 0.7500
Rb 0.0000 0.0000 0.0000
Pr 0.5000 0.5000 0.5000
Cl 0.2654 0.2654 0.7346
Cl 0.2654 0.7346 0.2654
Cl 0.2654 0.7346 0.7346
Cl 0.7346 0.2654 0.2654
Cl 0.7346 0.2654 0.7346
Cl 0.7346 0.7346 0.2654
```

Computed properties:
The space group is Fm-3m, No. 225. For the density of states at the Fermi level, the calculation gives 0.0 states/eV/f.u.

Result of the stability comparison: <two> is the least stable of them.

<one>
A geometry-optimized KPtCl structure. Source: Alexandria, functional PBE. Values from VASP.

Structure (Quantum ESPRESSO input):
```
&SYSTEM
  ibrav = 0, nat = 6, ntyp = 3
/
ATOMIC_SPECIES
K 39.10 K.upf
Pt 195.08 Pt.upf
Cl 35.45 Cl.upf
CELL_PARAMETERS angstrom
4.1041 0.0000 0.0000
1.0123 3.9787 0.0000
0.9369 0.8349 9.7943
ATOMIC_POSITIONS crystal
K 0.0000 0.0000 0.0000
K 0.3006 0.3136 0.6137
Pt 0.0523 0.0404 0.3469
Pt 0.6647 0.6530 0.3409
Cl 0.3861 0.3795 0.1860
Cl 0.6499 0.6567 0.8121
```

Computed properties:
The space group is P1, No. 1. For the density of states at the Fermi level, the calculation gives 0.0 states/eV/f.u.

<two>
A geometry-optimized KPtCl structure. Source: Alexandria, functional PBE. Values from VASP.

Structure (Quantum ESPRESSO input):
```
&SYSTEM
  ibrav = 0, nat = 12, ntyp = 3
/
ATOMIC_SPECIES
K 39.10 K.upf
Pt 195.08 Pt.upf
Cl 35.45 Cl.upf
CELL_PARAMETERS angstrom
5.7940 0.0000 0.0000
0.0000 10.0096 0.0000
0.0000 0.0000 5.3377
ATOMIC_POSITIONS crystal
K 0.0000 0.0000 0.0000
K 0.0000 0.5000 0.0000
K 0.5000 0.0000 0.5000
K 0.5000 0.5000 0.5000
Pt 0.0000 0.2500 0.3727
Pt 0.0000 0.7500 0.6273
Pt 0.5000 0.2500 0.1273
Pt 0.5000 0.7500 0.8727
Cl 0.2500 0.2500 0.7500
Cl 0.2500 0.7500 0.2500
Cl 0.7500 0.2500 0.7500
Cl 0.7500 0.7500 0.2500
```

Computed properties:
The space group is Imma, No. 74. For the density of states at the Fermi level, the calculation gives 0.1 states/eV/f.u.

<three>
A geometry-optimized KPtCl structure. Source: Alexandria, functional PBE. Values from VASP.

Structure (Quantum ESPRESSO input):
```
&SYSTEM
  ibrav = 0, nat = 3, ntyp = 3
/
ATOMIC_SPECIES
K 39.10 K.upf
Pt 195.08 Pt.upf
Cl 35.45 Cl.upf
CELL_PARAMETERS angstrom
3.5370 0.0000 0.0000
-1.7685 3.0631 0.0000
0.0000 0.0000 6.6611
ATOMIC_POSITIONS crystal
K 0.0000 0.0000 0.0000
Pt 0.3333 0.6667 0.3953
Cl 0.6667 0.3333 0.6611
```

Computed properties:
The space group is P3m1, No. 156. For the density of states at the Fermi level, the calculation gives 3.8 states/eV/f.u.

<four>
A geometry-optimized KPtCl structure. Source: Alexandria, functional PBE. Values from VASP.

Structure (Quantum ESPRESSO input):
```
&SYSTEM
  ibrav = 0, nat = 6, ntyp = 3
/
ATOMIC_SPECIES
K 39.10 K.upf
Pt 195.08 Pt.upf
Cl 35.45 Cl.upf
CELL_PARAMETERS angstrom
4.3117 0.0000 0.0000
-2.1559 3.7341 0.0000
0.0000 0.0000 9.4603
ATOMIC_POSITIONS crystal
K 0.0000 0.0000 0.0000
K 0.0000 0.0000 0.5000
Pt 0.3333 0.6667 0.2500
Pt 0.6667 0.3333 0.7500
Cl 0.3333 0.6667 0.7500
Cl 0.6667 0.3333 0.2500
```

Computed properties:
The space group is P6_3/mmc, No. 194. For the density of states at the Fermi level, the calculation gives 0.8 states/eV/f.u.

Result of the stability comparison: <three> is the least stable of them.

<one>
A geometry-optimized KPtCl structure. Source: Alexandria, functional PBE. Values from VASP.

Structure (Quantum ESPRESSO input):
```
&SYSTEM
  ibrav = 0, nat = 12, ntyp = 3
/
ATOMIC_SPECIES
K 39.10 K.upf
Pt 195.08 Pt.upf
Cl 35.45 Cl.upf
CELL_PARAMETERS angstrom
3.7373 0.0000 0.0000
0.0000 5.4420 0.0000
0.0000 0.0000 16.3007
ATOMIC_POSITIONS crystal
K 0.0000 0.0000 0.0000
K 0.0000 0.0000 0.2515
K 0.5000 0.5000 0.5000
K 0.5000 0.5000 0.7515
Pt 0.0000 0.0000 0.5134
Pt 0.0000 0.5000 0.1210
Pt 0.5000 0.0000 0.6210
Pt 0.5000 0.5000 0.0134
Cl 0.0000 0.0000 0.7242
Cl 0.0000 0.5000 0.9073
Cl 0.5000 0.0000 0.4073
Cl 0.5000 0.5000 0.2242
```

Computed properties:
The space group is Imm2, No. 44. For the density of states at the Fermi level, the calculation gives 0.0 states/eV/f.u.

<two>
A geometry-optimized KPtCl structure. Source: Alexandria, functional PBE. Values from VASP.

Structure (Quantum ESPRESSO input):
```
&SYSTEM
  ibrav = 0, nat = 12, ntyp = 3
/
ATOMIC_SPECIES
K 39.10 K.upf
Pt 195.08 Pt.upf
Cl 35.45 Cl.upf
CELL_PARAMETERS angstrom
4.5186 0.0000 0.0000
0.0000 4.5384 0.0000
0.0000 0.0000 12.9298
ATOMIC_POSITIONS crystal
K 0.0000 0.0000 0.0000
K 0.0000 0.5000 0.5000
K 0.5000 0.0000 0.5000
K 0.5000 0.5000 0.0000
Pt 0.0000 0.0000 0.6955
Pt 0.0000 0.5000 0.1955
Pt 0.5000 0.0000 0.1955
Pt 0.5000 0.5000 0.6955
Cl 0.0000 0.0000 0.3384
Cl 0.0000 0.5000 0.8384
Cl 0.5000 0.0000 0.8384
Cl 0.5000 0.5000 0.3384
```

Computed properties:
The space group is Fmm2, No. 42. For the density of states at the Fermi level, the calculation gives 3.3 states/eV/f.u.

Result of the stability comparison: <two> is the least stable of them.

<one>
A geometry-optimized KPtCl structure. Source: Alexandria, functional PBE. Values from VASP.

Structure (Quantum ESPRESSO input):
```
&SYSTEM
  ibrav = 0, nat = 6, ntyp = 3
/
ATOMIC_SPECIES
K 39.10 K.upf
Pt 195.08 Pt.upf
Cl 35.45 Cl.upf
CELL_PARAMETERS angstrom
3.5867 0.0000 0.0000
0.0018 3.5912 0.0000
1.7605 1.0763 11.3219
ATOMIC_POSITIONS crystal
K 0.0000 0.0000 0.0000
K 0.1683 0.1009 0.6569
Pt 0.3875 0.4583 0.2338
Pt 0.8573 0.9506 0.2974
Cl 0.5794 0.5474 0.8381
Cl 0.7439 0.6481 0.5031
```

Computed properties:
The space group is P1, No. 1. For the density of states at the Fermi level, the calculation gives 1.6 states/eV/f.u.

<two>
A geometry-optimized KPtCl structure. Source: Alexandria, functional PBE. Values from VASP.

Structure (Quantum ESPRESSO input):
```
&SYSTEM
  ibrav = 0, nat = 6, ntyp = 3
/
ATOMIC_SPECIES
K 39.10 K.upf
Pt 195.08 Pt.upf
Cl 35.45 Cl.upf
CELL_PARAMETERS angstrom
3.3581 0.0000 0.0000
0.0000 5.1161 0.0000
0.0000 0.0000 9.6027
ATOMIC_POSITIONS crystal
K 0.0000 0.0000 0.0000
K 0.5000 0.5000 0.5000
Pt 0.0000 0.0000 0.6229
Pt 0.5000 0.5000 0.1229
Cl 0.0000 0.0000 0.3857
Cl 0.5000 0.5000 0.8857
```

Computed properties:
The space group is Imm2, No. 44. For the density of states at the Fermi level, the calculation gives 1.9 states/eV/f.u.

<three>
A geometry-optimized KPtCl structure. Source: Alexandria, functional PBE. Values from VASP.

Structure (Quantum ESPRESSO input):
```
&SYSTEM
  ibrav = 0, nat = 3, ntyp = 3
/
ATOMIC_SPECIES
K 39.10 K.upf
Pt 195.08 Pt.upf
Cl 35.45 Cl.upf
CELL_PARAMETERS angstrom
4.3178 0.0000 0.0000
-2.1589 3.7393 0.0000
0.0000 0.0000 4.6943
ATOMIC_POSITIONS crystal
K 0.0000 0.0000 0.0000
Pt 0.6667 0.3333 0.5000
Cl 0.3333 0.6667 0.5000
```

Computed properties:
The space group is P-6m2, No. 187. For the density of states at the Fermi level, the calculation gives 0.9 states/eV/f.u.

Result of the stability comparison: <two> is the least stable of them.

<one>
A geometry-optimized KPtCl structure. Source: Alexandria, functional PBE. Values from VASP.

Structure (Quantum ESPRESSO input):
```
&SYSTEM
  ibrav = 0, nat = 12, ntyp = 3
/
ATOMIC_SPECIES
K 39.10 K.upf
Pt 195.08 Pt.upf
Cl 35.45 Cl.upf
CELL_PARAMETERS angstrom
6.7851 0.0000 0.0000
0.0000 6.7851 0.0000
0.0000 0.0000 6.7851
ATOMIC_POSITIONS crystal
K 0.0000 0.0000 0.0000
K 0.0000 0.5000 0.5000
K 0.5000 0.0000 0.5000
K 0.5000 0.5000 0.0000
Pt 0.0000 0.0000 0.5000
Pt 0.0000 0.5000 0.0000
Pt 0.5000 0.0000 0.0000
Pt 0.5000 0.5000 0.5000
Cl 0.2500 0.2500 0.2500
Cl 0.2500 0.7500 0.7500
Cl 0.7500 0.2500 0.7500
Cl 0.7500 0.7500 0.2500
```

Computed properties:
The space group is F-43m, No. 216. For the density of states at the Fermi level, the calculation gives 1.6 states/eV/f.u.

<two>
A geometry-optimized KPtCl structure. Source: Alexandria, functional PBE. Values from VASP.

Structure (Quantum ESPRESSO input):
```
&SYSTEM
  ibrav = 0, nat = 6, ntyp = 3
/
ATOMIC_SPECIES
K 39.10 K.upf
Pt 195.08 Pt.upf
Cl 35.45 Cl.upf
CELL_PARAMETERS angstrom
3.7516 0.0000 0.0000
-1.3875 5.7242 0.0000
-0.1566 -2.1210 7.3914
ATOMIC_POSITIONS crystal
K 0.0000 0.0000 0.0000
K 0.4727 0.7201 0.4813
Pt 0.1201 0.2393 0.5836
Pt 0.6799 0.3740 0.8151
Cl 0.2632 0.5466 0.0321
Cl 0.5965 0.1789 0.3533
```

Computed properties:
The space group is P1, No. 1. For the density of states at the Fermi level, the calculation gives 0.0 states/eV/f.u.

Result of the stability comparison: <one> is the least stable of them.

<one>
A geometry-optimized KPtCl structure. Source: Alexandria, functional PBE. Values from VASP.

Structure (Quantum ESPRESSO input):
```
&SYSTEM
  ibrav = 0, nat = 6, ntyp = 3
/
ATOMIC_SPECIES
K 39.10 K.upf
Pt 195.08 Pt.upf
Cl 35.45 Cl.upf
CELL_PARAMETERS angstrom
3.7500 0.0000 0.0000
0.1310 6.0057 0.0000
0.0208 1.8558 6.9474
ATOMIC_POSITIONS crystal
K 0.2394 0.3152 0.2675
K 0.7606 0.6848 0.7325
Pt 0.2479 0.0780 0.8792
Pt 0.7521 0.9220 0.1208
Cl 0.2558 0.7820 0.3566
Cl 0.7442 0.2180 0.6434
```

Computed properties:
The space group is P-1, No. 2. For the density of states at the Fermi level, the calculation gives 0.0 states/eV/f.u.

<two>
A geometry-optimized KPtCl structure. Source: Alexandria, functional PBE. Values from VASP.

Structure (Quantum ESPRESSO input):
```
&SYSTEM
  ibrav = 0, nat = 12, ntyp = 3
/
ATOMIC_SPECIES
K 39.10 K.upf
Pt 195.08 Pt.upf
Cl 35.45 Cl.upf
CELL_PARAMETERS angstrom
6.8044 0.0000 0.0000
0.0000 6.8044 0.0000
0.0000 0.0000 6.8044
ATOMIC_POSITIONS crystal
K 0.0000 0.0000 0.0000
K 0.0000 0.5000 0.5000
K 0.5000 0.0000 0.5000
K 0.5000 0.5000 0.0000
Pt 0.2500 0.2500 0.7500
Pt 0.2500 0.7500 0.2500
Pt 0.7500 0.2500 0.2500
Pt 0.7500 0.7500 0.7500
Cl 0.0000 0.0000 0.5000
Cl 0.0000 0.5000 0.0000
Cl 0.5000 0.0000 0.0000
Cl 0.5000 0.5000 0.5000
```

Computed properties:
The space group is F-43m, No. 216. For the density of states at the Fermi level, the calculation gives 1.5 states/eV/f.u.

Result of the stability comparison: <two> is the least stable of them.